VASP calculation (meta-GGA SCAN) on a PBEsol-optimized structure of CdIn2Bi.

Values from the calculation:
- mass density (g cm⁻³) = 8.55
- formation energy from the elements (eV per atom) = 0.10
- volume (Å³/cell) = 427.9
- excess energy over the best structure of this formula in the dataset (kJ/mol of atoms) = 3.1
- N(E_F) (states/eV/f.u.) = 1.50

Lattice parameters (Å, degrees): 7.535 7.535 7.535 90.00 90.00 90.00
Space group Fm-3m (No. 225)
Symmetry-distinct sites (fractional):
Cd (0.000, 0.000, 0.000) (multiplicity 4)
In (0.250, 0.250, 0.250) (multiplicity 8)
Bi (0.000, 0.000, 0.500) (multiplicity 4)



VASP calculation (meta-GGA SCAN) on a PBEsol-optimized structure of CdBiIr2.

Values from the calculation:
- mass density (g cm⁻³) = 16.49
- formation energy from the elements (eV per atom) = 0.55
- volume (Å³/cell) = 284.4
- N(E_F) (states/eV/f.u.) = 2.15

Lattice parameters (Å, degrees): 6.576 6.576 6.576 90.00 90.00 90.00
Space group Fm-3m (No. 225)
Symmetry-distinct sites (fractional):
Cd (0.000, 0.000, 0.000) (multiplicity 4)
Bi (0.000, 0.000, 0.500) (multiplicity 4)
Ir (0.250, 0.250, 0.250) (multiplicity 8)



VASP calculation (meta-GGA SCAN) on a PBEsol-optimized structure of ScCd2BiIr.

Values from the calculation:
- mass density (g cm⁻³) = 7.85
- formation energy from the elements (eV per atom) = 1.03
- volume (Å³/cell) = 142.0
- N(E_F) (states/eV/f.u.) = 2.85

Lattice parameters (Å, degrees): 5.361 5.361 4.941 90.00 90.00 90.00
Space group P4/mmm (No. 123)
Symmetry-distinct sites (fractional):
Sc (0.000, 0.000, 0.000) (multiplicity 1)
Cd (0.000, 0.500, 0.500) (multiplicity 2)
Bi (0.500, 0.500, 0.500) (multiplicity 1)
Ir (0.500, 0.500, 0.000) (multiplicity 1)